1.
This record from Alexandria via LeMat-Bulk describes a geometry-optimized Li5Tm2Pd5 structure. The functional is PBE.

```
data_Li5Tm2Pd5
_chemical_formula_sum 'Li5 Tm2 Pd5'
_cell_length_a 5.832
_cell_length_b 5.832
_cell_length_c 9.308
_cell_angle_alpha 109.95
_cell_angle_beta 109.95
_cell_angle_gamma 42.90
_symmetry_space_group_name_H-M 'P 1'
_symmetry_Int_Tables_number 1
_symmetry_space_group_name_Hall 'P 1'
loop_
_atom_site_label
_atom_site_fract_x
_atom_site_fract_y
_atom_site_fract_z
Li1 0.000 0.000 0.000
Li2 0.126 0.126 0.771
Li3 0.152 0.152 0.506
Li4 0.848 0.848 0.494
Li5 0.874 0.874 0.229
Tm1 0.422 0.422 0.753
Tm2 0.578 0.578 0.247
Pd1 0.246 0.246 0.255
Pd2 0.341 0.341 0.006
Pd3 0.500 0.500 0.500
Pd4 0.659 0.659 0.994
Pd5 0.754 0.754 0.745
```

E_form (eV per atom): -0.49
E_tot (eV/atom): -4.199



2.
This record from Alexandria via LeMat-Bulk describes a geometry-optimized Rb2CeCuF6 structure. The functional is PBE.

```
data_Rb2CeCuF6
_chemical_formula_sum 'Rb2 Ce1 Cu1 F6'
_cell_length_a 6.436
_cell_length_b 6.436
_cell_length_c 6.436
_cell_angle_alpha 60.00
_cell_angle_beta 60.00
_cell_angle_gamma 60.00
_symmetry_space_group_name_H-M 'P 1'
_symmetry_Int_Tables_number 1
_symmetry_space_group_name_Hall 'P 1'
loop_
_atom_site_label
_atom_site_fract_x
_atom_site_fract_y
_atom_site_fract_z
Rb1 0.250 0.250 0.250
Rb2 0.750 0.750 0.750
Ce1 0.000 0.000 0.000
Cu1 0.500 0.500 0.500
F1 0.251 0.251 0.749
F2 0.251 0.749 0.251
F3 0.251 0.749 0.749
F4 0.749 0.251 0.251
F5 0.749 0.251 0.749
F6 0.749 0.749 0.251
```

Energy relative to the lowest polymorph listed for this composition (kJ/mol of formula units): 22
E_tot (eV/atom): -5.140
E_form (uncorrected) (eV/f.u.): -28.2



3.
This record from Alexandria via LeMat-Bulk describes a geometry-optimized Mg2ZrPb structure. The functional is PBE.

```
data_Mg2ZrPb
_chemical_formula_sum 'Mg2 Zr1 Pb1'
_cell_length_a 5.936
_cell_length_b 5.936
_cell_length_c 5.814
_cell_angle_alpha 115.46
_cell_angle_beta 115.46
_cell_angle_gamma 31.14
_symmetry_space_group_name_H-M 'P 1'
_symmetry_Int_Tables_number 1
_symmetry_space_group_name_Hall 'P 1'
loop_
_atom_site_label
_atom_site_fract_x
_atom_site_fract_y
_atom_site_fract_z
Mg1 0.000 0.000 0.000
Mg2 0.249 0.249 0.932
Zr1 0.499 0.499 0.494
Pb1 0.750 0.750 0.444
```

E_form (eV per atom): -0.04
E_tot (eV/atom): -3.896



4.
This record from Alexandria via LeMat-Bulk describes a geometry-optimized NaCu2PW structure. The functional is PBE.

```
data_NaCu2PW
_chemical_formula_sum 'Na1 Cu2 P1 W1'
_cell_length_a 4.703
_cell_length_b 4.703
_cell_length_c 5.457
_cell_angle_alpha 90.00
_cell_angle_beta 90.00
_cell_angle_gamma 90.00
_symmetry_space_group_name_H-M 'P 1'
_symmetry_Int_Tables_number 1
_symmetry_space_group_name_Hall 'P 1'
loop_
_atom_site_label
_atom_site_fract_x
_atom_site_fract_y
_atom_site_fract_z
Na1 0.000 0.000 0.000
Cu1 0.000 0.500 0.500
Cu2 0.500 0.000 0.500
P1 0.500 0.500 0.000
W1 0.000 0.000 0.500
```

E_form (eV per atom): 1.93
E_tot (eV/atom): -3.649



5.
This record from Alexandria via LeMat-Bulk describes a geometry-optimized Ho3Sc3Tl2Ir structure. The functional is PBE.

```
data_Ho3Sc3Tl2Ir
_chemical_formula_sum 'Ho3 Sc3 Tl2 Ir1'
_cell_length_a 7.688
_cell_length_b 7.688
_cell_length_c 4.389
_cell_angle_alpha 90.00
_cell_angle_beta 90.00
_cell_angle_gamma 120.00
_symmetry_space_group_name_H-M 'P 1'
_symmetry_Int_Tables_number 1
_symmetry_space_group_name_Hall 'P 1'
loop_
_atom_site_label
_atom_site_fract_x
_atom_site_fract_y
_atom_site_fract_z
Ho1 0.000 0.598 0.000
Ho2 0.402 0.402 0.000
Ho3 0.598 0.000 0.000
Sc1 0.000 0.234 0.500
Sc2 0.234 0.000 0.500
Sc3 0.766 0.766 0.500
Tl1 0.333 0.667 0.500
Tl2 0.667 0.333 0.500
Ir1 0.000 0.000 0.000
```

E_form (eV per atom): -0.45
E_tot (eV/atom): -5.597



6.
This record from Alexandria via LeMat-Bulk describes a geometry-optimized CaMg6Cd structure. The functional is PBE.

```
data_CaMg6Cd
_chemical_formula_sum 'Ca1 Mg6 Cd1'
_cell_length_a 5.209
_cell_length_b 6.716
_cell_length_c 6.716
_cell_angle_alpha 56.76
_cell_angle_beta 90.00
_cell_angle_gamma 90.00
_symmetry_space_group_name_H-M 'P 1'
_symmetry_Int_Tables_number 1
_symmetry_space_group_name_Hall 'P 1'
loop_
_atom_site_label
_atom_site_fract_x
_atom_site_fract_y
_atom_site_fract_z
Ca1 0.000 0.000 0.000
Mg1 0.000 0.497 0.996
Mg2 0.000 0.996 0.497
Mg3 0.500 0.150 0.647
Mg4 0.500 0.164 0.164
Mg5 0.500 0.643 0.643
Mg6 0.500 0.647 0.150
Cd1 0.000 0.479 0.479
```

E_form (eV per atom): -0.04
E_tot (eV/atom): -1.599



7.
This record from Alexandria via LeMat-Bulk describes a geometry-optimized Na4V structure. The functional is PBE.

```
data_Na4V
_chemical_formula_sum 'Na4 V1'
_cell_length_a 5.903
_cell_length_b 5.903
_cell_length_c 5.903
_cell_angle_alpha 90.00
_cell_angle_beta 90.00
_cell_angle_gamma 90.00
_symmetry_space_group_name_H-M 'P 1'
_symmetry_Int_Tables_number 1
_symmetry_space_group_name_Hall 'P 1'
loop_
_atom_site_label
_atom_site_fract_x
_atom_site_fract_y
_atom_site_fract_z
Na1 0.000 0.000 0.000
Na2 0.000 0.500 0.500
Na3 0.500 0.000 0.500
Na4 0.500 0.500 0.000
V1 0.500 0.500 0.500
```

E_form (eV per atom): 0.81
E_tot (eV/atom): -2.065